Density functional theory data (PBE) for a relaxed structure of Tl2GaSb2.

Properties
- total DFT energy (no corrections) (eV/atom) = -2.99
- energy above the lowest structure with this stoichiometry (kJ/mol of atoms) = 14.32
- density of states at the Fermi level (states/eV per cell) = 3.869
- SG = No. 127
- ΔE_f (raw) (meV/atom) = 211

Cell: 8.509 8.509 4.297 Å, 90.00 90.00 90.00°
Fractional coordinates of all 10 atoms:
Sb1 0.123 0.623 0.500
Sb2 0.623 0.877 0.500
Sb3 0.877 0.377 0.500
Sb4 0.377 0.123 0.500
Tl1 0.335 0.835 0.000
Tl2 0.835 0.665 0.000
Tl3 0.665 0.165 0.000
Tl4 0.165 0.335 0.000
Ga1 0.000 0.000 0.000
Ga2 0.500 0.500 0.000



Density functional theory data (PBE) for a relaxed structure of Y2ZrTa.

Properties
- total DFT energy (no corrections) (eV/atom) = -7.98
- energy above the lowest structure with this stoichiometry (kJ/mol of atoms) = 18.51
- density of states at the Fermi level (states/eV per cell) = 5.995
- energy relative to the elements (eV/atom) = 0.3557
- SG = No. 139

Cell: 5.826 5.826 5.826 Å, 134.26 134.18 66.74°
Fractional coordinates of all 4 atoms:
Ta1 0.250 0.750 0.500
Y1 0.000 0.000 0.000
Y2 0.500 0.500 0.000
Zr1 0.750 0.250 0.500



Density functional theory data (PBE) for a relaxed structure of NaFePb3.

Properties
- total DFT energy (no corrections) (eV/atom) = -3.09
- energy above the lowest structure with this stoichiometry (kJ/mol of atoms) = 87.79
- density of states at the Fermi level (states/eV per cell) = 4.859
- energy relative to the elements (eV/atom) = 1.0911
- SG = No. 221

Cell: 5.461 5.461 5.461 Å, 90.00 90.00 90.00°
Fractional coordinates of all 5 atoms:
Pb1 0.000 0.500 0.000
Pb2 0.000 0.000 0.500
Pb3 0.500 0.000 0.000
Na1 0.000 0.000 0.000
Fe1 0.500 0.500 0.500



Density functional theory data (PBE) for a relaxed structure of La3HoTl4.

Properties
- total DFT energy (no corrections) (eV/atom) = -4.01
- density of states at the Fermi level (states/eV per cell) = 6.866
- energy relative to the elements (eV/atom) = -0.4049
- SG = No. 123

Cell: 3.847 3.847 16.402 Å, 90.00 90.00 90.00°
Fractional coordinates of all 8 atoms:
Tl1 0.000 0.000 0.889
Tl2 0.000 0.000 0.111
Tl3 0.000 0.000 0.370
Tl4 0.000 0.000 0.630
Ho1 0.500 0.500 0.000
La1 0.500 0.500 0.241
La2 0.500 0.500 0.500
La3 0.500 0.500 0.759



Please write out number 3 again, unchanged.
Density functional theory data (PBE) for a relaxed structure of NaFePb3.

Properties
- total DFT energy (no corrections) (eV/atom) = -3.09
- energy above the lowest structure with this stoichiometry (kJ/mol of atoms) = 87.79
- density of states at the Fermi level (states/eV per cell) = 4.859
- energy relative to the elements (eV/atom) = 1.0911
- SG = No. 221

Cell: 5.461 5.461 5.461 Å, 90.00 90.00 90.00°
Fractional coordinates of all 5 atoms:
Pb1 0.000 0.500 0.000
Pb2 0.000 0.000 0.500
Pb3 0.500 0.000 0.000
Na1 0.000 0.000 0.000
Fe1 0.500 0.500 0.500